Here is a relaxed structure of Sm2TmSc from Alexandria via LeMat-Bulk. Energies are from PBE.

Output
crystal system	tetragonal
distance to the lowest polymorph of the same formula	9.8	meV/atom
formation enthalpy at 0 K	41	meV per atom
symmetry	P4/mmm (123)

Lattice parameters (Å, degrees): 3.5576 3.5576 9.5905 90.00 90.00 90.00
With the nearest neighbours (Å) after each atom.
Atoms (fractional coordinates):
Sm 0.0000 0.0000 0.7595  4 Sc 3.41, 4 Tm 3.54, 4 Sm 3.56
Sc 0.5000 0.5000 0.0000  8 Sm 3.41, 4 Sc 3.56
Sm 0.0000 0.0000 0.2405  4 Sc 3.41, 4 Tm 3.54, 4 Sm 3.56
Tm 0.5000 0.5000 0.5000  8 Sm 3.54, 4 Tm 3.56

Here is a relaxed structure of Sm8TmSc2 from Alexandria via LeMat-Bulk. Energies are from PBE.

Output
crystal system	orthorhombic
distance to the lowest polymorph of the same formula	0.0	meV/atom
formation enthalpy at 0 K	125	meV per atom
symmetry	Immm (71)

Lattice parameters (Å, degrees): 5.4584 8.3779 9.2373 116.97 107.18 90.00
With the nearest neighbours (Å) after each atom.
Atoms (fractional coordinates):
Sm 0.6432 0.8460 0.2863  1 Tm 3.34, 3 Sc 3.34-3.46, 6 Sm 3.40-3.70
Sm 0.3568 0.5597 0.7137  1 Tm 3.34, 3 Sc 3.34-3.46, 6 Sm 3.40-3.70
Sm 0.6432 0.4403 0.2863  1 Tm 3.34, 3 Sc 3.34-3.46, 6 Sm 3.40-3.70
Sm 0.0000 0.6983 0.0000  7 Sm 3.32-3.54, 2 Sc 3.55, 2 Tm 3.72
Sm 0.3568 0.1540 0.7137  1 Tm 3.34, 3 Sc 3.34-3.46, 6 Sm 3.40-3.70
Sm 0.0000 0.3017 0.0000  7 Sm 3.32-3.54, 2 Sc 3.55, 2 Tm 3.72
Sc 0.7981 0.2981 0.5962  10 Sm 3.34-3.55
Tm 0.5000 0.0000 0.0000  12 Sm 3.34-3.72
Sm 0.8401 0.8401 0.6802  2 Sc 3.47, 8 Sm 3.50-3.70, 2 Tm 3.69
Sm 0.1599 0.1599 0.3198  2 Sc 3.47, 8 Sm 3.50-3.70, 2 Tm 3.69
Sc 0.2019 0.7019 0.4038  10 Sm 3.34-3.55

Here is a relaxed structure of Sm2TmSc8 from Alexandria via LeMat-Bulk. Energies are from PBE.

Output
crystal system	monoclinic
formation enthalpy at 0 K	153	meV per atom
symmetry	C2/m (12)

Lattice parameters (Å, degrees): 5.5148 8.6298 8.7976 60.63 73.48 54.57
With the nearest neighbours (Å) after each atom.
Atoms (fractional coordinates):
Sc 0.5000 0.7947 0.4105  1 Tm 3.15, 2 Sm 3.16, 6 Sc 3.38-3.45
Sc 0.7116 0.5537 0.0000  4 Sc 2.75-2.99
Sc 0.1868 0.6674 0.2359  3 Sc 2.99-3.20, 1 Sm 3.26
Sc 0.2884 0.4463 0.0000  4 Sc 2.75-2.99
Sc 0.5000 0.2053 0.5895  1 Tm 3.15, 2 Sm 3.16, 6 Sc 3.38-3.45
Sc 0.8132 0.3326 0.7641  3 Sc 2.99-3.20, 1 Sm 3.26
Sm 0.0000 0.6935 0.6129  10 Sc 3.16-3.53
Sm 0.0000 0.3065 0.3871  10 Sc 3.16-3.53
Sc 0.8132 0.0967 0.2359  3 Sc 2.99-3.20, 1 Sm 3.26
Sc 0.1868 0.9033 0.7641  3 Sc 2.99-3.20, 1 Sm 3.26
Tm 0.5000 0.0000 0.0000  4 Sc 3.15-3.31

Here is a relaxed structure of Sm2Tm6Sc5 from Alexandria via LeMat-Bulk. Energies are from PBE.

Output
crystal system	orthorhombic
formation enthalpy at 0 K	118	meV per atom
symmetry	Pbam (55)

Lattice parameters (Å, degrees): 3.4502 11.3191 19.2731 90.00 90.00 90.00
With the nearest neighbours (Å) after each atom.
Atoms (fractional coordinates):
Tm 0.0000 0.0884 0.3665  6 Sc 3.25-3.38, 1 Sm 3.34, 4 Tm 3.45
Sc 0.5000 0.1982 0.9509  7 Tm 3.38-3.58, 3 Sc 3.45-3.54, 2 Sm 3.70
Tm 0.0000 0.5884 0.1335  6 Sc 3.25-3.38, 1 Sm 3.34, 4 Tm 3.45
Tm 0.0000 0.5564 0.4203  6 Sc 3.29-3.42, 5 Tm 3.33-3.59, 1 Sm 3.55
Sm 0.0000 0.6526 0.7168  4 Tm 3.34-3.58, 6 Sc 3.40-3.70, 2 Sm 3.45
Tm 0.0000 0.4436 0.5797  6 Sc 3.29-3.42, 5 Tm 3.33-3.59, 1 Sm 3.55
Tm 0.0000 0.9436 0.9203  6 Sc 3.29-3.42, 5 Tm 3.33-3.59, 1 Sm 3.55
Tm 0.0000 0.4116 0.8665  6 Sc 3.25-3.38, 1 Sm 3.34, 4 Tm 3.45
Sc 0.5000 0.0000 0.5000  6 Tm 3.06-3.25
Tm 0.5000 0.8254 0.3788  2 Sc 3.06-3.15
Sc 0.5000 0.6065 0.2778  5 Tm 3.15-3.29, 4 Sm 3.40-3.43, 2 Sc 3.45
Sc 0.5000 0.3018 0.4509  7 Tm 3.38-3.58, 3 Sc 3.45-3.54, 2 Sm 3.70
Tm 0.5000 0.3254 0.1212  2 Sc 3.06-3.15
Sc 0.5000 0.8935 0.7778  5 Tm 3.15-3.29, 4 Sm 3.40-3.43, 2 Sc 3.45
Tm 0.5000 0.6746 0.8788  2 Sc 3.06-3.15
Sc 0.5000 0.8018 0.0491  7 Tm 3.38-3.58, 3 Sc 3.45-3.54, 2 Sm 3.70
Tm 0.0000 0.9116 0.6335  6 Sc 3.25-3.38, 1 Sm 3.34, 4 Tm 3.45
Tm 0.0000 0.0564 0.0797  6 Sc 3.29-3.42, 5 Tm 3.33-3.59, 1 Sm 3.55
Sc 0.5000 0.5000 0.0000  6 Tm 3.06-3.25
Sm 0.0000 0.3474 0.2832  4 Tm 3.34-3.58, 6 Sc 3.40-3.70, 2 Sm 3.45
Sc 0.5000 0.6982 0.5491  7 Tm 3.38-3.58, 3 Sc 3.45-3.54, 2 Sm 3.70
Sm 0.0000 0.8474 0.2168  4 Tm 3.34-3.58, 6 Sc 3.40-3.70, 2 Sm 3.45
Sc 0.5000 0.3935 0.7222  5 Tm 3.15-3.29, 4 Sm 3.40-3.43, 2 Sc 3.45
Tm 0.5000 0.1746 0.6212  2 Sc 3.06-3.15
Sc 0.5000 0.1065 0.2222  5 Tm 3.15-3.29, 4 Sm 3.40-3.43, 2 Sc 3.45
Sm 0.0000 0.1526 0.7832  4 Tm 3.34-3.58, 6 Sc 3.40-3.70, 2 Sm 3.45

| no. | E_tot (eV/atom) | N(E_F) (states/eV per cell) |
| --- | --- | --- |
| 1 | -5.020 | 6.2 |
| 2 | -4.864 | 19.0 |
| 3 | -5.717 | 15.9 |
| 4 | -5.107 | 37.6 |